[1]
## K2RbMgBr5 (PBE-GGA)

Data for a relaxed structure of K2RbMgBr5.

a b c (Å): 5.262 7.821 9.135
angles (deg): 115.35 106.74 90.00
Fractional coordinates of all 9 atoms:
K1 0.207 0.207 0.415
K2 0.793 0.793 0.585
Rb1 0.000 0.500 0.000
Mg1 0.500 0.000 0.000
Br1 0.625 0.882 0.250
Br2 0.375 0.118 0.750
Br3 0.375 0.632 0.750
Br4 0.625 0.368 0.250
Br5 0.000 0.000 0.000

[2]
## K2RbMgBr (PBE-GGA)

Data for a relaxed structure of K2RbMgBr.

a b c (Å): 7.707 6.136 7.707
angles (deg): 90.00 90.00 90.00
Fractional coordinates of all 5 atoms:
Mg1 0.500 0.500 0.500
K1 0.000 0.000 0.500
K2 0.500 0.000 0.000
Br1 0.000 0.500 0.000
Rb1 0.000 0.000 0.000

Values from the calculation:
Excess energy over the best structure of this formula in the dataset (eV per atom): 0.0214

[3]
## K2RbMgBr (PBE-GGA)

Data for a relaxed structure of K2RbMgBr.

a b c (Å): 6.799 7.144 6.799
angles (deg): 90.00 90.00 90.00
Fractional coordinates of all 5 atoms:
Mg1 0.000 0.000 0.000
K1 0.000 0.000 0.500
K2 0.500 0.000 0.000
Br1 0.500 0.500 0.500
Rb1 0.000 0.500 0.000

Values from the calculation:
Excess energy over the best structure of this formula in the dataset (eV per atom): 0.0000

[4]
## KRb2MgBr6 (PBE-GGA)

Data for a relaxed structure of KRb2MgBr6.

a b c (Å): 8.170 8.170 8.169
angles (deg): 60.00 60.00 90.00
Last column: magnetic moment on the atom in μB.
Fractional coordinates of all 10 atoms:
Mg1 0.500 0.500 0.000  0.00
K1 0.000 0.000 0.000  0.00
Br1 0.271 0.271 0.459  0.12
Br2 0.729 0.729 0.541  0.12
Br3 0.271 0.271 0.000  0.12
Br4 0.729 0.729 0.000  0.12
Br5 0.729 0.271 0.000  0.12
Br6 0.271 0.729 0.000  0.12
Rb1 0.750 0.250 0.500  0.00
Rb2 0.250 0.750 0.500  0.00

Number 1: formation energy from raw total energies -1644 meV/atom, final energy -27.92 eV/cell. Number 2: formation energy from raw total energies -125 meV/atom, final energy -7.05 eV/cell. Number 3: formation energy from raw total energies -146 meV/atom, final energy -7.16 eV/cell. Number 4: formation energy from raw total energies -1389 meV/atom, final energy -28.55 eV/cell.